Entry 1:
Compound: Cs2BiTe4As
Source: Alexandria via LeMat-Bulk
Functional: PBE
Structure: optimized geometry

## Properties
The total moment is 0.0 μB per formula unit. Its total energy is -3.274 eV per atom.

Geometry as POSCAR:
```
Cs2BiTe4As
1.0
-5.194 0.550 -8.105
-7.020 -5.144 4.150
3.466 8.138 4.299
Te Bi As Cs
8 2 2 4
Direct
0.190 0.747 0.969
0.810 0.253 0.031
0.235 0.265 0.446
0.753 0.310 0.531
0.235 0.265 0.054
0.765 0.735 0.946
0.765 0.735 0.554
0.247 0.690 0.469
0.000 0.500 0.500
0.000 0.500 0.000
0.000 0.000 0.000
0.500 0.500 0.500
0.500 0.000 0.000
0.500 0.000 0.500
0.000 0.000 0.500
0.500 0.500 0.000
```

***

Entry 2:
Compound: Hg2BAu
Source: Alexandria via LeMat-Bulk
Functional: PBE
Structure: optimized geometry

## Properties
The total moment is 0.0 μB per formula unit. Its energy of formation from the pure elements is 0.806 eV per atom. Its total energy is -1.834 eV per atom.

Geometry as POSCAR:
```
Hg2BAu
1.0
6.646 0.000 0.000
0.000 6.646 0.000
3.323 3.323 3.848
Hg B Au
4 2 2
Direct
0.875 0.805 0.750
0.195 0.625 0.250
0.555 0.125 0.250
0.375 0.445 0.750
0.250 0.750 0.500
0.500 0.500 0.000
0.750 0.250 0.500
0.000 0.000 0.000
```

***

Entry 3:
Compound: EuDyTlPd
Source: Alexandria via LeMat-Bulk
Functional: PBE
Structure: optimized geometry

## Properties
The total moment is 7.0 μB per formula unit. Its energy of formation from the pure elements is -0.470 eV per atom. Its total energy is -6.079 eV per atom.

Geometry as POSCAR:
```
EuDyTlPd
1.0
5.267 0.000 0.000
2.633 4.561 0.000
2.633 1.520 4.300
Dy Eu Pd Tl
1 1 1 1
Direct
0.250 0.250 0.250
0.750 0.750 0.750
0.500 0.500 0.500
0.000 0.000 0.000
```

***

Entry 4:
Compound: TiMoIr
Source: Alexandria via LeMat-Bulk
Functional: PBE
Structure: optimized geometry

## Properties
The total moment is 0.0 μB per formula unit. Its energy of formation from the pure elements is -0.314 eV per atom. Its total energy is -9.509 eV per atom. The calculation puts the excess energy over the best structure of this formula in the dataset at 132.4 meV/atom.

Geometry as POSCAR:
```
TiMoIr
1.0
5.267 -0.076 0.152
2.520 4.296 1.124
0.402 1.598 4.468
Ir Ti Mo
2 2 2
Direct
0.884 0.076 0.301
0.383 0.745 0.803
0.375 0.451 0.461
0.875 0.722 0.956
0.400 0.097 0.128
0.900 0.385 0.623
```